Entry from Alexandria via LeMat-Bulk: a relaxed LiPrTlRh crystal (PBE).

Geometry as POSCAR:
```
LiPrTlRh
1.0
-2.6615 2.0291 3.5856
-3.1862 -2.7334 2.5366
0.9241 -1.1331 4.6819
Rh Li Tl Pr
1 1 1 1
direct
0.5000 0.5000 0.5000 Rh
0.0000 0.0000 0.0000 Li
0.2500 0.2500 0.2500 Tl
0.7500 0.7500 0.7500 Pr
```

Output
Its space-group type is F-43m, No. 216. Its formation energy is -1.38 eV per formula unit. The density of states at the Fermi level is 4.5 states/eV/f.u. Its total moment is 0.00 μB/cell.